DFT (PBE-GGA) results for a geometry-optimized TbPt2O4 structure.

Cell lengths 5.934, 5.934, 6.419 Å; angles 97.40, 97.40, 108.56 degrees
Sites, in units of the cell vectors:
Tb  0.098  0.902  0.750
Tb  0.902  0.098  0.250
Pt  0.000  0.500  0.000
Pt  0.500  0.000  0.500
Pt  0.500  0.500  0.000
Pt  0.500  0.500  0.500
O  0.163  0.241  0.995
O  0.241  0.163  0.495
O  0.276  0.685  0.534
O  0.315  0.724  0.966
O  0.685  0.276  0.034
O  0.724  0.315  0.466
O  0.759  0.837  0.505
O  0.837  0.759  0.005

- E_form (uncorrected) (eV per atom) = -1.359
- symmetry = C2/c

---

DFT (PBE-GGA) results for a geometry-optimized TbTlPtO6 structure.

Cell lengths 5.640, 5.640, 8.973 Å; angles 90.00, 90.00, 120.00 degrees
Sites, in units of the cell vectors:
Tb  0.333  0.667  0.250
Tb  0.667  0.333  0.750
Tl  0.000  0.000  0.000
Tl  0.000  0.000  0.500
Pt  0.333  0.667  0.750
Pt  0.667  0.333  0.250
O  0.037  0.377  0.627
O  0.037  0.660  0.873
O  0.340  0.377  0.873
O  0.340  0.963  0.627
O  0.377  0.037  0.127
O  0.377  0.340  0.373
O  0.623  0.660  0.627
O  0.623  0.963  0.873
O  0.660  0.037  0.373
O  0.660  0.623  0.127
O  0.963  0.340  0.127
O  0.963  0.623  0.373

- E_form (uncorrected) (eV per atom) = -1.171
- symmetry = P-31c